No. 1
# Zn4Rh5 (PBE, optimized geometry)
# * ΔE_f: -0.151 eV/atom
# * relative energy among the computed polymorphs: 7.4 kJ per mole of atoms
data_Zn4Rh5
_chemical_formula_sum 'Zn4 Rh5'
_space_group_name_H-M_alt 'P 1'
_space_group_IT_number 1
_space_group_name_Hall 'P 1'
_cell_length_a 6.035
_cell_length_b 6.035
_cell_length_c 6.035
_cell_angle_alpha 96.20
_cell_angle_beta 96.20
_cell_angle_gamma 141.64
loop_
_atom_site_label
_atom_site_fract_x
_atom_site_fract_y
_atom_site_fract_z
_atom_site_occupancy
Zn1 0.678 0.000 0.678 1
Rh1 0.331 0.331 0.663 1
Zn2 0.000 0.678 0.678 1
Zn3 0.000 0.322 0.322 1
Zn4 0.322 0.000 0.322 1
Rh2 0.669 0.331 0.000 1
Rh3 0.000 0.000 0.000 1
Rh4 0.669 0.669 0.337 1
Rh5 0.331 0.669 0.000 1


No. 2
# Zn4Rh3 (PBE, optimized geometry)
# * ΔE_f: -0.238 eV/atom
# * relative energy among the computed polymorphs: 15.6 kJ per mole of atoms
data_Zn4Rh3
_chemical_formula_sum 'Zn4 Rh3'
_space_group_name_H-M_alt 'P 1'
_space_group_IT_number 1
_space_group_name_Hall 'P 1'
_cell_length_a 10.726
_cell_length_b 10.726
_cell_length_c 10.726
_cell_angle_alpha 163.60
_cell_angle_beta 163.60
_cell_angle_gamma 23.27
loop_
_atom_site_label
_atom_site_fract_x
_atom_site_fract_y
_atom_site_fract_z
_atom_site_occupancy
Zn1 0.569 0.569 0.000 1
Rh1 0.000 0.000 0.000 1
Rh2 0.709 0.709 0.000 1
Zn2 0.142 0.142 0.000 1
Zn3 0.431 0.431 0.000 1
Zn4 0.858 0.858 0.000 1
Rh3 0.291 0.291 0.000 1


No. 3
# Zn5Rh (PBE, optimized geometry)
# * ΔE_f: -0.150 eV/atom
data_Zn5Rh
_chemical_formula_sum 'Zn5 Rh1'
_space_group_name_H-M_alt 'P 1'
_space_group_IT_number 1
_space_group_name_Hall 'P 1'
_cell_length_a 3.244
_cell_length_b 3.244
_cell_length_c 8.313
_cell_angle_alpha 90.00
_cell_angle_beta 90.00
_cell_angle_gamma 90.00
loop_
_atom_site_label
_atom_site_fract_x
_atom_site_fract_y
_atom_site_fract_z
_atom_site_occupancy
Zn1 0.500 0.500 0.672 1
Zn2 0.000 0.000 0.500 1
Zn3 0.000 0.000 0.160 1
Rh1 0.500 0.500 0.000 1
Zn4 0.000 0.000 0.840 1
Zn5 0.500 0.500 0.328 1


No. 4
# Zn7Rh (PBE, optimized geometry)
# * ΔE_f: -0.155 eV/atom
data_Zn7Rh
_chemical_formula_sum 'Zn7 Rh1'
_space_group_name_H-M_alt 'P 1'
_space_group_IT_number 1
_space_group_name_Hall 'P 1'
_cell_length_a 5.453
_cell_length_b 5.453
_cell_length_c 5.453
_cell_angle_alpha 60.00
_cell_angle_beta 60.00
_cell_angle_gamma 60.00
loop_
_atom_site_label
_atom_site_fract_x
_atom_site_fract_y
_atom_site_fract_z
_atom_site_occupancy
Rh1 0.000 0.000 0.000 1
Zn1 0.500 0.500 0.500 1
Zn2 0.000 0.000 0.500 1
Zn3 0.000 0.500 0.000 1
Zn4 0.500 0.500 0.000 1
Zn5 0.000 0.500 0.500 1
Zn6 0.500 0.000 0.000 1
Zn7 0.500 0.000 0.500 1


No. 5
# Zn5Rh (PBE, optimized geometry)
# * ΔE_f: -0.219 eV/atom
data_Zn5Rh
_chemical_formula_sum 'Zn10 Rh2'
_space_group_name_H-M_alt 'P 1'
_space_group_IT_number 1
_space_group_name_Hall 'P 1'
_cell_length_a 6.806
_cell_length_b 5.321
_cell_length_c 7.540
_cell_angle_alpha 90.00
_cell_angle_beta 90.00
_cell_angle_gamma 141.55
loop_
_atom_site_label
_atom_site_fract_x
_atom_site_fract_y
_atom_site_fract_z
_atom_site_occupancy
Rh1 0.750 0.999 0.250 1
Zn1 0.750 0.256 0.914 1
Zn2 0.250 0.246 0.086 1
Zn3 0.250 0.744 0.086 1
Zn4 0.250 0.246 0.414 1
Zn5 0.250 0.744 0.414 1
Zn6 0.750 0.499 0.250 1
Zn7 0.750 0.754 0.586 1
Zn8 0.250 0.501 0.750 1
Zn9 0.750 0.754 0.914 1
Zn10 0.750 0.256 0.586 1
Rh2 0.250 0.001 0.750 1


No. 6
# Zn3Rh (PBE, optimized geometry)
# * ΔE_f: -0.085 eV/atom
data_Zn3Rh
_chemical_formula_sum 'Zn3 Rh1'
_space_group_name_H-M_alt 'P 1'
_space_group_IT_number 1
_space_group_name_Hall 'P 1'
_cell_length_a 2.764
_cell_length_b 2.764
_cell_length_c 8.760
_cell_angle_alpha 90.00
_cell_angle_beta 90.00
_cell_angle_gamma 118.17
loop_
_atom_site_label
_atom_site_fract_x
_atom_site_fract_y
_atom_site_fract_z
_atom_site_occupancy
Rh1 0.000 0.000 0.000 1
Zn1 0.500 0.500 0.758 1
Zn2 0.500 0.500 0.242 1
Zn3 0.000 0.000 0.500 1


No. 7
# ZnRh2 (PBE, optimized geometry)
# * ΔE_f: -0.102 eV/atom
data_ZnRh2
_chemical_formula_sum 'Zn3 Rh6'
_space_group_name_H-M_alt 'P 1'
_space_group_IT_number 1
_space_group_name_Hall 'P 1'
_cell_length_a 7.315
_cell_length_b 7.315
_cell_length_c 2.743
_cell_angle_alpha 90.00
_cell_angle_beta 90.00
_cell_angle_gamma 120.00
loop_
_atom_site_label
_atom_site_fract_x
_atom_site_fract_y
_atom_site_fract_z
_atom_site_occupancy
Rh1 0.701 0.701 0.000 1
Rh2 0.299 0.000 0.000 1
Zn1 0.333 0.667 0.000 1
Zn2 0.000 0.000 0.500 1
Rh3 0.633 0.000 0.500 1
Rh4 0.000 0.633 0.500 1
Rh5 0.367 0.367 0.500 1
Zn3 0.667 0.333 0.000 1
Rh6 0.000 0.299 0.000 1


No. 8
# ZnRh (PBE, optimized geometry)
# * ΔE_f: 0.711 eV/atom
data_ZnRh
_chemical_formula_sum 'Zn8 Rh8'
_space_group_name_H-M_alt 'P 1'
_space_group_IT_number 1
_space_group_name_Hall 'P 1'
_cell_length_a 7.676
_cell_length_b 7.676
_cell_length_c 7.676
_cell_angle_alpha 90.00
_cell_angle_beta 90.00
_cell_angle_gamma 90.00
loop_
_atom_site_label
_atom_site_fract_x
_atom_site_fract_y
_atom_site_fract_z
_atom_site_occupancy
Zn1 0.806 0.806 0.194 1
Zn2 0.194 0.806 0.806 1
Zn3 0.806 0.194 0.806 1
Zn4 0.694 0.306 0.306 1
Rh1 0.122 0.122 0.878 1
Rh2 0.122 0.878 0.122 1
Rh3 0.378 0.378 0.378 1
Rh4 0.378 0.622 0.622 1
Rh5 0.622 0.378 0.622 1
Rh6 0.622 0.622 0.378 1
Zn5 0.306 0.306 0.694 1
Zn6 0.306 0.694 0.306 1
Rh7 0.878 0.878 0.878 1
Rh8 0.878 0.122 0.122 1
Zn7 0.194 0.194 0.194 1
Zn8 0.694 0.694 0.694 1


Which N(E_F) belongs to each record? In order, 13.0 5.6 1.9 3.9 3.9 0.9 15.7 13.1 states/eV per cell.